DyCo3P2 | OQMD via LeMat-Bulk | PBE-GGA | optimized geometry; E = -7.061 eV per atom; magnetization = 4.379 Bohr magnetons per cell
1.0
3.684 0.000 0.000
0.000 10.486 0.000
0.000 0.000 12.142
Dy Co P
6 18 12
direct
0.250 0.067 0.206
0.250 0.250 0.478
0.250 0.433 0.206
0.750 0.567 0.794
0.750 0.750 0.522
0.750 0.933 0.794
0.250 0.129 0.710
0.250 0.250 0.014
0.250 0.371 0.710
0.250 0.547 0.431
0.250 0.583 0.995
0.250 0.750 0.159
0.250 0.750 0.703
0.250 0.917 0.995
0.250 0.953 0.431
0.750 0.047 0.569
0.750 0.083 0.005
0.750 0.250 0.297
0.750 0.250 0.841
0.750 0.417 0.005
0.750 0.453 0.569
0.750 0.629 0.290
0.750 0.750 0.986
0.750 0.871 0.290
0.250 0.098 0.893
0.250 0.402 0.893
0.250 0.561 0.616
0.250 0.750 0.344
0.250 0.750 0.883
0.250 0.939 0.616
0.750 0.061 0.384
0.750 0.250 0.117
0.750 0.250 0.656
0.750 0.439 0.384
0.750 0.598 0.107
0.750 0.902 0.107